# PBE-GGA Na2NbIr2S6, optimized geometry
data_Na2NbIr2S6
_chemical_formula_sum 'Na4 Nb2 Ir4 S12'
_symmetry_space_group_name_H-M 'C 1 2/m 1'
_symmetry_Int_Tables_number 12
_cell_length_a 5.8798
_cell_length_b 11.1243
_cell_length_c 7.1115
_cell_angle_alpha 90.00
_cell_angle_beta 107.22
_cell_angle_gamma 90.00
loop_
_symmetry_equiv_pos_as_xyz
'x,y,z'
'-x,-y,-z'
'-x,y,-z'
'x,-y,z'
'x+1/2,y+1/2,z'
'-x+1/2,-y+1/2,-z'
'-x+1/2,y+1/2,-z'
'x+1/2,-y+1/2,z'
loop_
_atom_site_label
_atom_site_fract_x
_atom_site_fract_y
_atom_site_fract_z
_atom_site_occupancy
Na1 0.0000 0.1614 0.0000 1
Nb1 0.0000 0.0000 0.5000 1
Ir1 0.0000 0.3394 0.5000 1
S1 0.2188 0.5000 0.7064 1
S2 0.2284 0.1798 0.6916 1
# - formation energy from raw total energies (eV per formula unit) = -7.7
# - E_tot (eV per atom) = -5.714

# PBE-GGA BaAcTlCu, optimized geometry
data_BaAcTlCu
_chemical_formula_sum 'Ba4 Ac4 Tl4 Cu4'
_symmetry_space_group_name_H-M 'F -4 3 m'
_symmetry_Int_Tables_number 216
_symmetry_space_group_name_Hall 'F -4 2 3'
_cell_length_a 8.1271
_cell_length_b 8.1271
_cell_length_c 8.1271
_cell_angle_alpha 90.00
_cell_angle_beta 90.00
_cell_angle_gamma 90.00
loop_
_atom_site_label
_atom_site_fract_x
_atom_site_fract_y
_atom_site_fract_z
_atom_site_occupancy
Ba1 0.0000 0.0000 0.0000 1
Ac1 0.0000 0.0000 0.5000 1
Tl1 0.2500 0.2500 0.2500 1
Cu1 0.2500 0.2500 0.7500 1
# - energy of formation (eV per atom) = -0.131
# - E_tot (eV per atom) = -3.255

# PBE-GGA Tb4Nd2HoTh, optimized geometry
data_Tb4Nd2HoTh
_chemical_formula_sum 'Tb4 Nd2 Ho1 Th1'
_symmetry_space_group_name_H-M 'P 4/m m m'
_symmetry_Int_Tables_number 123
_symmetry_space_group_name_Hall '-P 4 2'
_cell_length_a 5.9550
_cell_length_b 5.9550
_cell_length_c 7.3922
_cell_angle_alpha 90.00
_cell_angle_beta 90.00
_cell_angle_gamma 90.00
loop_
_atom_site_label
_atom_site_fract_x
_atom_site_fract_y
_atom_site_fract_z
_atom_site_occupancy
Tb1 0.0000 0.5000 0.2498 1
Nd1 0.0000 0.0000 0.0000 1
Nd2 0.5000 0.5000 0.5000 1
Ho1 0.0000 0.0000 0.5000 1
Th1 0.5000 0.5000 0.0000 1
# - energy of formation (eV per atom) = 0.128
# - E_tot (eV per atom) = -4.879

# PBE-GGA LaPmCd2, optimized geometry
data_LaPmCd2
_chemical_formula_sum 'La1 Pm1 Cd2'
_symmetry_space_group_name_H-M 'P 4/m m m'
_symmetry_Int_Tables_number 123
_symmetry_space_group_name_Hall '-P 4 2'
_cell_length_a 3.8679
_cell_length_b 3.8679
_cell_length_c 7.8330
_cell_angle_alpha 90.00
_cell_angle_beta 90.00
_cell_angle_gamma 90.00
loop_
_atom_site_label
_atom_site_fract_x
_atom_site_fract_y
_atom_site_fract_z
_atom_site_occupancy
La1 0.0000 0.0000 0.0000 1
Pm1 0.0000 0.0000 0.5000 1
Cd1 0.5000 0.5000 0.2634 1
# - energy of formation (eV per atom) = -0.321
# - E_tot (eV per atom) = -3.199

# PBE-GGA Pu2SnPd, optimized geometry
data_Pu2SnPd
_chemical_formula_sum 'Pu2 Sn1 Pd1'
_symmetry_space_group_name_H-M 'P 4/m m m'
_symmetry_Int_Tables_number 123
_symmetry_space_group_name_Hall '-P 4 2'
_cell_length_a 3.9754
_cell_length_b 3.9754
_cell_length_c 5.9066
_cell_angle_alpha 90.00
_cell_angle_beta 90.00
_cell_angle_gamma 90.00
loop_
_atom_site_label
_atom_site_fract_x
_atom_site_fract_y
_atom_site_fract_z
_atom_site_occupancy
Pu1 0.0000 0.0000 0.2398 1
Sn1 0.5000 0.5000 0.5000 1
Pd1 0.5000 0.5000 0.0000 1
# - energy of formation (eV per atom) = -0.395
# - E_tot (eV per atom) = -9.860

# PBE-GGA Pr4Ho3Sn4, optimized geometry
data_Pr4Ho3Sn4
_chemical_formula_sum 'Pr8 Ho6 Sn8'
_symmetry_space_group_name_H-M 'I m m m'
_symmetry_Int_Tables_number 71
_symmetry_space_group_name_Hall '-I 2 2'
_cell_length_a 3.5729
_cell_length_b 9.6431
_cell_length_c 19.2461
_cell_angle_alpha 90.00
_cell_angle_beta 90.00
_cell_angle_gamma 90.00
loop_
_atom_site_label
_atom_site_fract_x
_atom_site_fract_y
_atom_site_fract_z
_atom_site_occupancy
Pr1 0.0000 0.1749 0.1632 1
Ho1 0.0000 0.0000 0.4105 1
Ho2 0.0000 0.5000 0.5000 1
Sn1 0.0000 0.2792 0.0000 1
Sn2 0.0000 0.5000 0.2216 1
# - energy of formation (eV per atom) = -0.555
# - E_tot (eV per atom) = -4.997

# PBE-GGA Pm5Sm2Y6, optimized geometry
data_Pm5Sm2Y6
_chemical_formula_sum 'Pm10 Sm4 Y12'
_symmetry_space_group_name_H-M 'P b a m'
_symmetry_Int_Tables_number 55
_cell_length_a 11.7890
_cell_length_b 20.6400
_cell_length_c 3.6133
_cell_angle_alpha 90.00
_cell_angle_beta 90.00
_cell_angle_gamma 90.00
loop_
_symmetry_equiv_pos_as_xyz
'x,y,z'
'-x,-y,-z'
'-x,-y,z'
'x,y,-z'
'x+1/2,-y+1/2,-z'
'-x+1/2,y+1/2,z'
'-x+1/2,y+1/2,-z'
'x+1/2,-y+1/2,z'
loop_
_atom_site_label
_atom_site_fract_x
_atom_site_fract_y
_atom_site_fract_z
_atom_site_occupancy
Pm1 0.0000 0.0000 0.0000 1
Pm2 0.0856 0.2741 0.0000 1
Pm3 0.2007 0.5493 0.0000 1
Sm1 0.1705 0.7120 0.5000 1
Y1 0.0588 0.4199 0.5000 1
Y2 0.0803 0.1317 0.5000 1
Y3 0.1776 0.8658 0.0000 1
# - energy of formation (eV per atom) = 0.093
# - E_tot (eV per atom) = -5.444

# PBE-GGA La3Pm3Ho4, optimized geometry
data_La3Pm3Ho4
_chemical_formula_sum 'La6 Pm6 Ho8'
_symmetry_space_group_name_H-M 'A m m 2'
_symmetry_Int_Tables_number 38
_cell_length_a 3.6731
_cell_length_b 13.7767
_cell_length_c 13.7778
_cell_angle_alpha 90.00
_cell_angle_beta 90.00
_cell_angle_gamma 90.00
loop_
_symmetry_equiv_pos_as_xyz
'x,y,z'
'-x,-y,z'
'-x,y,z'
'x,-y,z'
'x,y+1/2,z+1/2'
'-x,-y+1/2,z+1/2'
'-x,y+1/2,z+1/2'
'x,-y+1/2,z+1/2'
loop_
_atom_site_label
_atom_site_fract_x
_atom_site_fract_y
_atom_site_fract_z
_atom_site_occupancy
La1 0.0000 0.0000 0.0000 1
La2 0.5000 0.2482 0.5760 1
Pm1 0.0000 0.0000 0.6499 1
Pm2 0.0000 0.1743 0.3256 1
Ho1 0.5000 0.0000 0.2049 1
Ho2 0.5000 0.0000 0.4470 1
Ho3 0.5000 0.1222 0.8226 1
# - energy of formation (eV per atom) = 0.087
# - E_tot (eV per atom) = -4.648

# PBE-GGA GdYCd4, optimized geometry
data_GdYCd4
_chemical_formula_sum 'Gd4 Y4 Cd16'
_symmetry_space_group_name_H-M 'F -4 3 m'
_symmetry_Int_Tables_number 216
_symmetry_space_group_name_Hall 'F -4 2 3'
_cell_length_a 8.3823
_cell_length_b 8.3823
_cell_length_c 8.3823
_cell_angle_alpha 90.00
_cell_angle_beta 90.00
_cell_angle_gamma 90.00
loop_
_atom_site_label
_atom_site_fract_x
_atom_site_fract_y
_atom_site_fract_z
_atom_site_occupancy
Gd1 0.0000 0.0000 0.0000 1
Y1 0.2500 0.2500 0.7500 1
Cd1 0.1249 0.1249 0.3751 1
# - energy of formation (eV per atom) = -0.281
# - E_tot (eV per atom) = -4.315

# PBE-GGA Er2PuSc, optimized geometry
data_Er2PuSc
_chemical_formula_sum 'Er2 Pu1 Sc1'
_symmetry_space_group_name_H-M 'P 4/m m m'
_symmetry_Int_Tables_number 123
_symmetry_space_group_name_Hall '-P 4 2'
_cell_length_a 4.8177
_cell_length_b 4.8177
_cell_length_c 4.8334
_cell_angle_alpha 90.00
_cell_angle_beta 90.00
_cell_angle_gamma 90.00
loop_
_atom_site_label
_atom_site_fract_x
_atom_site_fract_y
_atom_site_fract_z
_atom_site_occupancy
Er1 0.0000 0.5000 0.0000 1
Pu1 0.0000 0.0000 0.5000 1
Sc1 0.5000 0.5000 0.5000 1
# - energy of formation (eV per atom) = 0.141
# - E_tot (eV per atom) = -7.306

# PBE-GGA AlTc2Ir, optimized geometry
data_AlTc2Ir
_chemical_formula_sum 'Al1 Tc2 Ir1'
_symmetry_space_group_name_H-M 'P m m 2'
_symmetry_Int_Tables_number 25
_cell_length_a 2.7929
_cell_length_b 3.8163
_cell_length_c 5.4551
_cell_angle_alpha 90.00
_cell_angle_beta 90.00
_cell_angle_gamma 90.00
loop_
_symmetry_equiv_pos_as_xyz
'x,y,z'
'-x,-y,z'
'-x,y,z'
'x,-y,z'
loop_
_atom_site_label
_atom_site_fract_x
_atom_site_fract_y
_atom_site_fract_z
_atom_site_occupancy
Al1 0.0000 0.0000 0.0000 1
Tc1 0.0000 0.0000 0.5066 1
Tc2 0.5000 0.5000 0.7227 1
Ir1 0.5000 0.5000 0.2125 1
# - energy of formation (eV per atom) = -0.253
# - E_tot (eV per atom) = -8.587

# PBE-GGA Pr6ScCd2, optimized geometry
data_Pr6ScCd2
_chemical_formula_sum 'Pr12 Sc2 Cd4'
_symmetry_space_group_name_H-M 'C 1 2/m 1'
_symmetry_Int_Tables_number 12
_cell_length_a 13.0170
_cell_length_b 3.7854
_cell_length_c 12.1593
_cell_angle_alpha 90.00
_cell_angle_beta 108.12
_cell_angle_gamma 90.00
loop_
_symmetry_equiv_pos_as_xyz
'x,y,z'
'-x,-y,-z'
'-x,y,-z'
'x,-y,z'
'x+1/2,y+1/2,z'
'-x+1/2,-y+1/2,-z'
'-x+1/2,y+1/2,-z'
'x+1/2,-y+1/2,z'
loop_
_atom_site_label
_atom_site_fract_x
_atom_site_fract_y
_atom_site_fract_z
_atom_site_occupancy
Pr1 0.0265 0.0000 0.3349 1
Pr2 0.1771 0.5000 0.8789 1
Pr3 0.1900 0.5000 0.5940 1
Sc1 0.0000 0.0000 0.0000 1
Cd1 0.1370 0.5000 0.1799 1
# - energy of formation (eV per atom) = -0.111
# - E_tot (eV per atom) = -4.205